This record from OQMD via LeMat-Bulk describes an optimized crystal structure of HfPaAl. The functional is PBE.

Values from the calculation:
spin magnetization	1.6	μB per formula unit
total energy	-20.08	eV for the cell shown
energy above the most stable polymorph in this dataset	62.7	kJ/mol of atoms

a = 4.8337 Å, b = 4.8337 Å, c = 4.8337 Å
α = 60.00°, β = 60.00°, γ = 60.00°
Fractional positions:
Al 0.2500 0.2500 0.2500
Hf 0.7500 0.7500 0.7500
Pa 0.0000 0.0000 0.0000

---

This record from OQMD via LeMat-Bulk describes an optimized crystal structure of YMg4ScCd2. The functional is PBE.

Values from the calculation:
spin magnetization	0.0	μB per formula unit
total energy	-22.23	eV for the cell shown

a = 5.0092 Å, b = 5.0092 Å, c = 7.1071 Å
α = 90.00°, β = 90.00°, γ = 90.00°
Fractional positions:
Cd 0.5000 0.0000 0.2376
Cd 0.0000 0.5000 0.7624
Mg 0.5000 0.5000 0.0000
Mg 0.0000 0.5000 0.2378
Mg 0.0000 0.0000 0.5000
Mg 0.5000 0.0000 0.7622
Sc 0.0000 0.0000 0.0000
Y 0.5000 0.5000 0.5000

---

This record from OQMD via LeMat-Bulk describes an optimized crystal structure of TaAuNO. The functional is PBE.

Values from the calculation:
spin magnetization	0.3	μB per formula unit
total energy	-58.70	eV for the cell shown
energy above the most stable polymorph in this dataset	64.8	kJ/mol of atoms

a = 4.1046 Å, b = 4.1046 Å, c = 6.0963 Å
α = 90.00°, β = 90.00°, γ = 90.00°
Last column: magnetic moment on the atom in μB.
Fractional positions:
Au 0.0000 0.5000 0.1678  0.08
Au 0.5000 0.0000 0.8322  0.08
N 0.5000 0.0000 0.4170  0.00
N 0.0000 0.5000 0.5830  0.00
O 0.0000 0.0000 0.0000  0.21
O 0.5000 0.5000 0.0000  0.21
Ta 0.0000 0.0000 0.5000  0.00
Ta 0.5000 0.5000 0.5000  0.00